VASP calculation (GGA-PBE) on a relaxed Pm2HoEr2 crystal.

Structure (POSCAR):
```
Pm2HoEr2
1.0
3.453 0.000 0.912
1.722 3.095 0.473
-1.975 -3.158 14.469
Pm Ho Er
2 1 2
direct
0.230 0.436 0.104
0.770 0.564 0.896
0.500 0.500 0.500
0.636 0.032 0.696
0.364 0.968 0.304
```

Fermi-level density of states ... 1.277 states/eV/atom
E ... -23.08 eV/cell
Spin magnetization ... 0.00 μB/f.u.
Space-group type ... No. 12
Excess energy over the best structure of this formula in the dataset ... 0 meV/atom
DFT formation energy ... 0.025 eV per atom
Calculated volume ... 32.08 Å³ per atom